(1)
# PBE-GGA TbPrBrN, relaxed
# - E: -25.071 eV/cell
# - Total magnetization: 0.0000 μB/atom
data_TbPrBrN
_chemical_formula_sum 'Tb1 Pr1 Br1 N1'
_space_group_name_H-M_alt 'P 1'
_space_group_IT_number 1
_cell_length_a 7.653
_cell_length_b 7.653
_cell_length_c 7.653
_cell_angle_alpha 27.77
_cell_angle_beta 27.77
_cell_angle_gamma 27.77
loop_
_space_group_symop_operation_xyz
'x,y,z'
loop_
_atom_site_label
_atom_site_fract_x
_atom_site_fract_y
_atom_site_fract_z
Tb1 0.000 0.000 0.000
Pr1 0.213 0.213 0.213
Br1 0.435 0.435 0.435
N1 0.620 0.620 0.620

---

(2)
# PBE-GGA TbPr2Br2N2, relaxed
# - E: -43.588 eV/cell
# - Total magnetization: 0.1373 μB/atom
data_TbPr2Br2N2
_chemical_formula_sum 'Tb1 Pr2 Br2 N2'
_space_group_name_H-M_alt 'P 1'
_space_group_IT_number 1
_cell_length_a 8.910
_cell_length_b 8.910
_cell_length_c 8.910
_cell_angle_alpha 150.55
_cell_angle_beta 150.55
_cell_angle_gamma 42.14
loop_
_space_group_symop_operation_xyz
'x,y,z'
loop_
_atom_site_label
_atom_site_fract_x
_atom_site_fract_y
_atom_site_fract_z
Tb1 0.000 0.000 0.000
Pr1 0.410 0.410 0.000
Pr2 0.590 0.590 0.000
Br1 0.178 0.178 0.000
Br2 0.822 0.822 0.000
N1 0.000 0.500 0.500
N2 0.500 0.000 0.500

---

(3)
# PBE-GGA Pr2TeBr2N, relaxed
# - E: -64.631 eV/cell
# - Total magnetization: 0.1671 μB/atom
data_Pr2TeBr2N
_chemical_formula_sum 'Pr4 Te2 Br4 N2'
_space_group_name_H-M_alt 'P 1'
_space_group_IT_number 1
_cell_length_a 4.187
_cell_length_b 11.162
_cell_length_c 8.488
_cell_angle_alpha 90.00
_cell_angle_beta 90.00
_cell_angle_gamma 90.00
loop_
_space_group_symop_operation_xyz
'x,y,z'
loop_
_atom_site_label
_atom_site_fract_x
_atom_site_fract_y
_atom_site_fract_z
Pr1 0.000 0.070 0.000
Pr2 0.000 0.930 0.500
Pr3 0.500 0.216 0.365
Pr4 0.500 0.784 0.865
Te1 0.500 0.084 0.702
Te2 0.500 0.916 0.202
Br1 0.000 0.389 0.486
Br2 0.000 0.611 0.986
Br3 0.500 0.279 0.031
Br4 0.500 0.721 0.531
N1 0.000 0.106 0.333
N2 0.000 0.894 0.833

---

(4)
# PBE-GGA Pr2ZrBr2N2, relaxed
# - E: -47.746 eV/cell
# - Total magnetization: 0.2059 μB/atom
data_Pr2ZrBr2N2
_chemical_formula_sum 'Pr2 Zr1 Br2 N2'
_space_group_name_H-M_alt 'P 1'
_space_group_IT_number 1
_cell_length_a 9.115
_cell_length_b 9.115
_cell_length_c 9.115
_cell_angle_alpha 152.41
_cell_angle_beta 152.41
_cell_angle_gamma 39.41
loop_
_space_group_symop_operation_xyz
'x,y,z'
loop_
_atom_site_label
_atom_site_fract_x
_atom_site_fract_y
_atom_site_fract_z
Pr1 0.088 0.088 0.000
Pr2 0.912 0.912 0.000
Zr1 0.500 0.500 0.000
Br1 0.329 0.329 0.000
Br2 0.671 0.671 0.000
N1 0.000 0.500 0.500
N2 0.500 0.000 0.500